[1]
Material: BPtSeN2
Method: DFT, PBE
State: optimized geometry

a b c (Å): 3.308 3.308 8.012
angles (deg): 90.00 90.00 90.00
Atoms (fractional coordinates):
B: 0.000 0.000 0.000
Pt: 0.500 0.500 0.500
Se: 0.000 0.000 0.500
N: 0.000 0.500 0.000
N: 0.500 0.000 0.000

Results
The total magnetization is 0.22 μB per cell. Its calculated volume is 88 Å³/cell. The value obtained for the total energy is -5.31 eV per atom. The calculation puts the formation energy without anion corrections at 1260.5 meV/atom. The energy above the most stable polymorph in this dataset comes out at 0.0 meV per atom.

=====

[2]
Material: LaEr3Tm5
Method: DFT, PBE
State: optimized geometry

a b c (Å): 9.313 9.313 12.043
angles (deg): 126.00 126.00 50.10
Atoms (fractional coordinates):
La: 0.238 0.238 0.138
La: 0.762 0.762 0.862
Er: 0.000 0.000 0.000
Er: 0.163 0.163 0.339
Er: 0.377 0.377 0.681
Er: 0.500 0.500 0.500
Er: 0.623 0.623 0.319
Er: 0.837 0.837 0.661
Tm: 0.121 0.121 0.567
Tm: 0.143 0.728 0.219
Tm: 0.272 0.857 0.781
Tm: 0.299 0.299 0.927
Tm: 0.323 0.677 0.000
Tm: 0.677 0.323 0.000
Tm: 0.701 0.701 0.073
Tm: 0.728 0.143 0.219
Tm: 0.857 0.272 0.781
Tm: 0.879 0.879 0.433

Results
As for the formation energy: 372.1 kJ/mol of formula units. The total magnetization is 0.00 μB per cell. Its calculated volume is 610 Å³/cell. The value obtained for the total energy is -4.12 eV per atom. The energy above the most stable polymorph in this dataset comes out at 85.9 meV per atom.